{"formula": "Li4Si2NiAu", "functional": "PBE", "state": "optimized geometry", "lattice": [[-2.9772, 2.7292, -0.7678], [-0.2244, -1.3367, -3.8813], [-4.0927, -4.0095, 1.6175]], "species": ["Au", "Li", "Li", "Li", "Li", "Ni", "Si", "Si"], "frac_coords": [[0.0000, 0.0000, 0.0000], [0.5000, 0.5000, 0.0000], [0.0000, 0.5000, 0.2638], [0.0000, 0.0000, 0.5000], [0.5000, 0.0000, 0.7362], [0.5000, 0.5000, 0.5000], [0.5000, 0.0000, 0.2807], [0.0000, 0.5000, 0.7193]], "sg": "P-4m2", "energy_ev_per_atom": -3.828, "volume_a3_per_atom": 12.6, "density_g_cm3": 5.60, "crystal_system": "tetragonal"}

---

{"formula": "Li4NiSn2Au", "functional": "PBE", "state": "optimized geometry", "lattice": [[4.4539, 0.0000, 0.0000], [0.0000, 4.4539, 0.0000], [0.0000, 0.0000, 6.3402]], "species": ["Au", "Li", "Li", "Li", "Li", "Ni", "Sn", "Sn"], "frac_coords": [[0.0000, 0.0000, 0.0000], [0.5000, 0.5000, 0.0000], [0.5000, 0.0000, 0.2540], [0.0000, 0.0000, 0.5000], [0.0000, 0.5000, 0.7460], [0.5000, 0.5000, 0.5000], [0.0000, 0.5000, 0.2760], [0.5000, 0.0000, 0.7240]], "sg": "P-4m2", "energy_ev_per_atom": -3.502, "volume_a3_per_atom": 15.7, "density_g_cm3": 6.88, "crystal_system": "tetragonal"}